(1)
12
Lattice="4.129 -7.154 0.000 4.129 7.154 0.000 -2.753 0.000 8.300" Properties=species:S:1:pos:R:3 comment="Ba6P2SeI3 | Alexandria via LeMat-Bulk | GGA-PBE | optimized geometry" total_magnetization_mub_per_fu=0.00 formation_energy_uncorrected_ev_per_atom=-1.540 pbc="T T T"
Ba -0.042 2.458 6.597
Ba 1.293 0.000 1.694
Ba -0.042 -2.458 6.597
Ba 5.548 2.458 1.703
Ba 4.213 0.000 6.606
Ba 5.548 -2.458 1.703
P 4.129 4.766 0.000
P 4.129 -4.766 0.000
Se 4.129 0.000 0.000
I -1.376 0.000 4.150
I 2.753 2.351 4.150
I 2.753 -2.351 4.150

(2)
8
Lattice="8.273 0.000 0.000 0.000 4.767 0.000 -2.744 0.000 8.245" Properties=species:S:1:pos:R:3 comment="Ba4PSeI2 | Alexandria via LeMat-Bulk | GGA-PBE | optimized geometry" total_magnetization_mub_per_fu=0.00 formation_energy_uncorrected_ev_per_atom=-1.584 pbc="T T T"
Ba 1.310 0.000 1.699
Ba -0.071 2.384 6.521
Ba 5.600 2.384 1.724
Ba 4.220 0.000 6.546
P 0.000 2.384 0.000
Se 4.137 0.000 0.000
I -1.372 0.000 4.123
I 2.765 2.384 4.123

(3)
12
Lattice="4.163 -7.214 0.000 4.163 7.214 0.000 -2.779 0.000 8.450" Properties=species:S:1:pos:R:3 comment="Ba6SiP2I3 | Alexandria via LeMat-Bulk | GGA-PBE | optimized geometry" total_magnetization_mub_per_fu=1.06 formation_energy_uncorrected_ev_per_atom=-1.204 pbc="T T T"
Ba -0.041 2.471 6.741
Ba 1.312 0.000 1.707
Ba -0.041 -2.471 6.741
Ba 5.588 2.471 1.708
Ba 4.236 0.000 6.743
Ba 5.588 -2.471 1.708
Si 4.163 0.000 0.000
P 4.163 4.809 0.000
P 4.163 -4.809 0.000
I -1.390 0.000 4.225
I 2.774 2.389 4.225
I 2.774 -2.389 4.225

(4)
7
Lattice="-2.716 2.716 8.965 2.716 -2.716 8.965 2.716 2.716 -8.965" Properties=species:S:1:pos:R:3 comment="Ba2SmP2I2 | Alexandria via LeMat-Bulk | GGA-PBE | optimized geometry" total_magnetization_mub_per_fu=0.00 formation_energy_uncorrected_ev_per_atom=-1.314 pbc="T T T"
Ba 0.000 0.000 2.046
Ba 0.000 0.000 15.885
Sm 0.000 0.000 8.965
P 2.716 0.000 0.000
P 0.000 2.716 0.000
I 0.000 0.000 5.687
I 0.000 0.000 12.243

(5)
5
Lattice="5.053 0.000 0.000 0.000 5.053 0.000 0.000 0.000 7.146" Properties=species:S:1:pos:R:3 comment="BaSnP2I | Alexandria via LeMat-Bulk | GGA-PBE | optimized geometry" total_magnetization_mub_per_fu=0.00 formation_energy_uncorrected_ev_per_atom=-0.017 pbc="T T T"
Ba 0.000 0.000 0.000
Sn 0.000 0.000 3.573
P 0.000 2.527 3.573
P 2.527 0.000 3.573
I 2.527 2.527 0.000

(6)
5
Lattice="6.452 0.000 0.000 0.000 6.452 0.000 0.000 0.000 4.970" Properties=species:S:1:pos:R:3 comment="Ba2TcPI | Alexandria via LeMat-Bulk | GGA-PBE | optimized geometry" total_magnetization_mub_per_fu=3.00 formation_energy_uncorrected_ev_per_atom=0.489 pbc="T T T"
Ba 0.000 3.226 0.000
Ba 3.226 0.000 0.000
Tc 0.000 0.000 2.485
P 3.226 3.226 2.485
I 0.000 0.000 0.000

(7)
5
Lattice="5.508 0.000 0.000 0.000 5.508 0.000 0.000 0.000 5.752" Properties=species:S:1:pos:R:3 comment="BaTePI2 | Alexandria via LeMat-Bulk | GGA-PBE | optimized geometry" total_magnetization_mub_per_fu=0.00 relative_energy_mev_per_atom=0 formation_energy_uncorrected_ev_per_atom=-0.643 pbc="T T T"
Ba 0.000 0.000 0.000
Te 2.754 2.754 0.000
P 2.754 2.754 2.876
I 0.000 2.754 2.876
I 2.754 0.000 2.876

(8)
12
Lattice="4.335 -7.471 0.000 4.335 7.471 0.000 -2.874 0.000 7.973" Properties=species:S:1:pos:R:3 comment="Ba6Te3PI2 | Alexandria via LeMat-Bulk | GGA-PBE | optimized geometry" total_magnetization_mub_per_fu=0.00 formation_energy_uncorrected_ev_per_atom=-1.591 pbc="T T T"
Ba -0.120 2.266 5.967
Ba 1.162 0.000 1.989
Ba -0.120 -2.266 5.967
Ba 5.916 2.266 2.006
Ba 4.634 0.000 5.984
Ba 5.916 -2.266 2.006
Te 4.335 4.848 0.000
Te 4.335 0.000 0.000
Te 4.335 -4.848 0.000
P -1.437 0.000 3.987
I 2.898 2.467 3.987
I 2.898 -2.467 3.987

(9)
12
Lattice="4.198 -7.269 0.000 4.198 7.269 0.000 -2.805 0.000 8.307" Properties=species:S:1:pos:R:3 comment="Ba6TeP2I3 | Alexandria via LeMat-Bulk | GGA-PBE | optimized geometry" total_magnetization_mub_per_fu=0.00 formation_energy_uncorrected_ev_per_atom=-1.491 pbc="T T T"
Ba -0.101 2.586 6.571
Ba 1.214 0.000 1.718
Ba -0.101 -2.586 6.571
Ba 5.693 2.586 1.736
Ba 4.378 0.000 6.590
Ba 5.693 -2.586 1.736
Te 4.198 0.000 0.000
P 4.198 4.838 0.000
P 4.198 -4.838 0.000
I -1.402 0.000 4.154
I 2.796 2.337 4.154
I 2.796 -2.337 4.154

(10)
12
Lattice="4.276 -7.391 0.000 4.276 7.391 0.000 -2.844 0.000 8.193" Properties=species:S:1:pos:R:3 comment="Ba6Te2PI3 | Alexandria via LeMat-Bulk | GGA-PBE | optimized geometry" total_magnetization_mub_per_fu=0.00 formation_energy_uncorrected_ev_per_atom=-1.540 pbc="T T T"
Ba 1.331 2.300 1.784
Ba -0.190 0.000 6.386
Ba 1.331 -2.300 1.784
Ba 4.377 2.300 6.410
Ba 5.898 0.000 1.807
Ba 4.377 -2.300 6.410
Te 4.276 2.454 0.000
Te 4.276 -2.454 0.000
P 0.000 0.000 0.000
I 2.854 4.846 4.097
I 2.854 0.000 4.097
I 2.854 -4.846 4.097

(11)
5
Lattice="6.696 0.000 0.000 0.000 6.696 0.000 0.000 0.000 7.208" Properties=species:S:1:pos:R:3 comment="BaTePI2 | Alexandria via LeMat-Bulk | GGA-PBE | optimized geometry" total_magnetization_mub_per_fu=1.05 relative_energy_mev_per_atom=773 formation_energy_uncorrected_ev_per_atom=0.130 pbc="T T T"
Ba 0.000 0.000 0.000
Te 0.000 0.000 3.604
P 3.348 3.348 3.604
I 0.000 3.348 0.000
I 3.348 0.000 0.000

(12)
8
Lattice="8.814 0.000 0.000 0.000 4.760 0.000 -2.633 0.000 8.541" Properties=species:S:1:pos:R:3 comment="Ba4TlPI2 | Alexandria via LeMat-Bulk | GGA-PBE | optimized geometry" total_magnetization_mub_per_fu=1.19 formation_energy_uncorrected_ev_per_atom=-1.081 pbc="T T T"
Ba 1.385 0.000 1.720
Ba 0.029 2.380 6.686
Ba 6.152 2.380 1.855
Ba 4.796 0.000 6.821
Tl 4.407 0.000 0.000
P 0.000 2.380 0.000
I -1.316 0.000 4.271
I 3.091 2.380 4.271

(13)
12
Lattice="4.189 -7.259 0.000 4.189 7.259 0.000 -2.797 0.000 8.408" Properties=species:S:1:pos:R:3 comment="Ba6ZnP2I3 | Alexandria via LeMat-Bulk | GGA-PBE | optimized geometry" total_magnetization_mub_per_fu=3.03 formation_energy_uncorrected_ev_per_atom=-1.162 pbc="T T T"
Ba -0.070 2.537 6.694
Ba 1.262 0.000 1.709
Ba -0.070 -2.537 6.694
Ba 5.652 2.537 1.715
Ba 4.320 0.000 6.699
Ba 5.652 -2.537 1.715
Zn 4.189 0.000 0.000
P 4.189 4.837 0.000
P 4.189 -4.837 0.000
I -1.398 0.000 4.204
I 2.791 2.387 4.204
I 2.791 -2.387 4.204

(14)
5
Lattice="6.286 0.000 0.000 0.000 6.286 0.000 0.000 0.000 5.540" Properties=species:S:1:pos:R:3 comment="Ba2ZrPI | Alexandria via LeMat-Bulk | GGA-PBE | optimized geometry" total_magnetization_mub_per_fu=3.71 formation_energy_uncorrected_ev_per_atom=0.307 pbc="T T T"
Ba 0.000 3.143 0.000
Ba 3.143 0.000 0.000
Zr 0.000 0.000 2.770
P 3.143 3.143 0.000
I 3.143 3.143 2.770

(15)
28
Lattice="-6.906 6.909 7.917 6.906 -6.909 7.917 6.906 6.909 -7.917" Properties=species:S:1:pos:R:3 comment="BaPa2I11 | Alexandria via LeMat-Bulk | GGA-PBE | optimized geometry" total_magnetization_mub_per_fu=1.00 formation_energy_uncorrected_ev_per_atom=-1.049 pbc="T T T"
Ba 0.000 0.000 3.959
Ba 0.000 0.000 11.876
Pa 9.154 2.243 0.000
Pa 2.248 4.666 0.000
Pa 4.658 2.243 7.917
Pa -2.248 4.666 7.917
I 6.906 0.000 0.000
I 3.115 -0.768 2.108
I 7.684 -3.781 5.804
I 7.684 3.781 -2.113
I 10.697 0.768 2.108
I 4.258 2.660 0.000
I 4.258 -2.660 7.917
I 3.791 6.140 -2.108
I 0.778 3.127 2.113
I 7.684 3.781 2.113
I 3.115 0.768 5.809
I 0.000 6.909 0.000
I 3.791 6.140 2.108
I -0.778 3.127 5.804
I 6.128 3.781 5.804
I 3.115 0.768 10.025
I 2.648 9.568 0.000
I 2.648 4.249 7.917
I -3.791 6.140 5.809
I -0.778 3.127 10.031
I -0.778 10.690 2.113
I 3.791 7.677 5.809

(16)
8
Lattice="4.100 -7.035 0.000 4.100 7.035 0.000 -2.292 0.000 7.724" Properties=species:S:1:pos:R:3 comment="BaPaI6 | Alexandria via LeMat-Bulk | GGA-PBE | optimized geometry" total_magnetization_mub_per_fu=1.01 formation_energy_uncorrected_ev_per_atom=-1.245 pbc="T T T"
Ba 0.000 0.000 0.000
Pa 2.954 0.000 3.862
I 1.724 2.168 2.098
I 0.469 0.000 5.587
I 1.724 -2.168 2.098
I 4.184 2.168 5.626
I 5.440 0.000 2.137
I 4.184 -2.168 5.626

(17)
12
Lattice="7.800 0.000 0.000 0.000 9.998 0.000 -0.230 0.000 8.132" Properties=species:S:1:pos:R:3 comment="BaPaTl2I8 | Alexandria via LeMat-Bulk | GGA-PBE | optimized geometry" total_magnetization_mub_per_fu=1.00 formation_energy_uncorrected_ev_per_atom=-1.043 pbc="T T T"
Ba 0.000 0.000 0.000
Pa 0.000 4.999 0.000
Tl 3.785 2.471 4.066
Tl 3.785 7.527 4.066
I 1.543 4.999 2.570
I 1.620 2.802 7.025
I 1.620 7.196 7.025
I 1.930 0.000 2.807
I 5.641 0.000 5.325
I 5.951 2.802 1.107
I 5.951 7.196 1.107
I 6.027 4.999 5.563

(18)
16
Lattice="8.757 0.000 0.000 0.000 10.169 0.000 -2.936 0.000 8.350" Properties=species:S:1:pos:R:3 comment="Ba4PbI3 | Alexandria via LeMat-Bulk | GGA-PBE | optimized geometry" total_magnetization_mub_per_fu=0.00 formation_energy_uncorrected_ev_per_atom=-1.216 pbc="T T T"
Ba 2.022 1.130 0.011
Ba 0.554 9.039 4.186
Ba 0.648 3.714 4.050
Ba -0.820 6.455 8.225
Ba 6.641 3.714 0.125
Ba 5.173 6.455 4.300
Ba 5.267 1.130 4.164
Ba 3.799 9.039 8.339
Pb -0.734 1.338 2.088
Pb -2.202 8.831 6.263
I -2.202 3.806 6.263
I -0.734 6.363 2.088
I 2.177 1.376 6.263
I 3.645 3.861 2.088
I 2.177 6.308 6.263
I 3.645 8.793 2.088

(19)
12
Lattice="7.965 -4.807 0.000 7.965 4.807 0.000 -5.161 0.000 7.828" Properties=species:S:1:pos:R:3 comment="BaPb3I8 | Alexandria via LeMat-Bulk | GGA-PBE | optimized geometry" total_magnetization_mub_per_fu=0.00 formation_energy_uncorrected_ev_per_atom=-0.922 pbc="T T T"
Ba 0.000 0.000 0.000
Pb 1.402 2.404 3.914
Pb 1.402 -2.404 3.914
Pb 7.965 0.000 0.000
I 0.171 0.000 5.824
I 2.723 0.000 2.121
I 4.054 2.281 5.835
I 6.715 2.281 1.993
I 4.054 -2.281 5.835
I 6.715 -2.281 1.993
I 8.046 0.000 5.706
I 10.598 0.000 2.004

(20)
5
Lattice="6.800 0.000 0.000 0.000 6.800 0.000 0.000 0.000 6.800" Properties=species:S:1:pos:R:3 comment="Ba3PbI | Alexandria via LeMat-Bulk | GGA-PBE | optimized geometry" total_magnetization_mub_per_fu=0.00 relative_energy_mev_per_atom=0 formation_energy_uncorrected_ev_per_atom=-0.495 pbc="T T T"
Ba 0.000 0.000 3.400
Ba 0.000 3.400 0.000
Ba 3.400 0.000 0.000
Pb 0.000 0.000 0.000
I 3.400 3.400 3.400